Density functional theory data (SCAN) for a PBEsol-optimized structure of Mg3ReCl.

```
5
Lattice="5.2051 0.0000 0.0000 0.0000 5.2051 0.0000 0.0000 0.0000 5.2051" Properties=species:S:1:pos:R:3 pbc="T T T"
Mg 0.0000 0.0000 2.6025
Mg 0.0000 2.6025 0.0000
Mg 2.6025 0.0000 0.0000
Re 0.0000 0.0000 0.0000
Cl 2.6025 2.6025 2.6025
```

DOS at the Fermi energy   3.53 states/eV/cell

---

Density functional theory data (SCAN) for a PBEsol-optimized structure of MgRe2Cl.

```
4
Lattice="4.6088 0.0000 0.0000 0.0000 4.6088 0.0000 0.0000 0.0000 2.7920" Properties=species:S:1:pos:R:3 pbc="T T T"
Mg 0.0000 0.0000 0.0000
Re 0.0000 2.3044 1.3960
Re 2.3044 0.0000 1.3960
Cl 2.3044 2.3044 0.0000
```

Energy relative to the lowest polymorph listed for this composition   391.9 meV/atom
DOS at the Fermi energy   4.35 states/eV/cell

---

Density functional theory data (SCAN) for a PBEsol-optimized structure of MgReCl2.

```
4
Lattice="1.5107 0.8722 9.2117 -1.5107 0.8722 9.2117 0.0000 -1.7444 9.2117" Properties=species:S:1:pos:R:3 pbc="T T T"
Mg 0.0000 0.0000 0.0000
Re 0.0000 0.0000 13.8176
Cl 0.0000 0.0000 6.4113
Cl 0.0000 0.0000 21.2238
```

Energy relative to the lowest polymorph listed for this composition   177.9 meV/atom
DOS at the Fermi energy   2.40 states/eV/cell

---

Density functional theory data (SCAN) for a PBEsol-optimized structure of MgReCl2.

```
8
Lattice="-2.1561 2.1561 7.7450 2.1561 -2.1561 7.7450 2.1561 2.1561 -7.7450" Properties=species:S:1:pos:R:3 pbc="T T T"
Mg 0.0000 0.0000 0.0000
Mg 0.0000 2.1561 3.8725
Re 2.1561 0.0000 3.8725
Re 0.0000 0.0000 7.7450
Cl 1.0780 -0.9505 5.8088
Cl 1.2056 1.0780 1.9363
Cl 1.0780 3.1065 -1.9363
Cl 0.9505 1.0780 9.6813
```

Energy relative to the lowest polymorph listed for this composition   203.3 meV/atom
DOS at the Fermi energy   3.84 states/eV/cell

---

Density functional theory data (SCAN) for a PBEsol-optimized structure of MgRe2Cl.

```
4
Lattice="2.5078 -4.7854 0.0000 2.5078 4.7854 0.0000 0.0000 0.0000 2.7195" Properties=species:S:1:pos:R:3 pbc="T T T"
Mg 0.0000 0.0000 0.0000
Re 1.2539 2.3927 1.3597
Re 1.2539 -2.3927 1.3597
Cl 2.5078 0.0000 0.0000
```

Energy relative to the lowest polymorph listed for this composition   0.0 meV/atom
DOS at the Fermi energy   3.32 states/eV/cell

---

Density functional theory data (SCAN) for a PBEsol-optimized structure of Mg2ReCl.

```
4
Lattice="2.8154 0.0000 0.0000 0.0000 4.9872 0.0000 -0.1627 0.0000 5.0451" Properties=species:S:1:pos:R:3 pbc="T T T"
Mg 0.0000 0.0000 0.0000
Mg -0.0667 2.4936 2.9509
Re 1.3366 0.0000 2.5510
Cl 0.9616 2.4936 0.4666
```

Energy relative to the lowest polymorph listed for this composition   0.0 meV/atom
DOS at the Fermi energy   1.43 states/eV/cell

---

Density functional theory data (SCAN) for a PBEsol-optimized structure of MgReCl2.

```
4
Lattice="2.9480 0.0000 0.0000 0.0000 4.0581 0.0000 -0.6007 0.0000 5.5785" Properties=species:S:1:pos:R:3 pbc="T T T"
Mg 0.0000 0.0000 0.0000
Re 1.1737 0.0000 2.7893
Cl 1.1172 2.0290 1.4361
Cl 1.2301 2.0290 4.1424
```

Energy relative to the lowest polymorph listed for this composition   0.0 meV/atom
DOS at the Fermi energy   1.89 states/eV/cell

---

Density functional theory data (SCAN) for a PBEsol-optimized structure of Mg2ReCl.

```
4
Lattice="1.7473 -2.2314 0.0000 1.7473 2.2314 0.0000 0.0000 0.0000 9.9765" Properties=species:S:1:pos:R:3 pbc="T T T"
Mg 0.0000 0.0000 0.0000
Mg 1.7473 0.0000 2.6379
Re 0.0000 0.0000 4.7356
Cl 1.7473 0.0000 8.4017
```

Energy relative to the lowest polymorph listed for this composition   98.6 meV/atom
DOS at the Fermi energy   1.99 states/eV/cell

---

Density functional theory data (SCAN) for a PBEsol-optimized structure of Mg2ReCl.

```
4
Lattice="2.9125 0.0000 0.0000 0.0000 4.7272 0.0000 0.0000 0.0000 4.9741" Properties=species:S:1:pos:R:3 pbc="T T T"
Mg 0.0000 0.0000 0.0000
Mg 1.4562 0.0000 2.4870
Re 0.0000 2.3636 2.4870
Cl 1.4562 2.3636 0.0000
```

Energy relative to the lowest polymorph listed for this composition   538.5 meV/atom
DOS at the Fermi energy   2.55 states/eV/cell

---

Density functional theory data (SCAN) for a PBEsol-optimized structure of Mg2TaReCl.

```
5
Lattice="5.5937 0.0000 0.0000 0.0000 5.5937 0.0000 0.0000 0.0000 4.5461" Properties=species:S:1:pos:R:3 pbc="T T T"
Mg 0.0000 2.7968 0.0000
Mg 2.7968 0.0000 0.0000
Ta 0.0000 0.0000 0.0000
Re 0.0000 0.0000 2.2731
Cl 2.7968 2.7968 2.2731
```

DOS at the Fermi energy   4.40 states/eV/cell

---

Density functional theory data (SCAN) for a PBEsol-optimized structure of Mg3RhCl.

```
5
Lattice="4.6448 0.0000 0.0000 0.0000 4.6448 0.0000 0.0000 0.0000 4.6448" Properties=species:S:1:pos:R:3 pbc="T T T"
Mg 0.0000 0.0000 2.3224
Mg 0.0000 2.3224 0.0000
Mg 2.3224 0.0000 0.0000
Rh 2.3224 2.3224 2.3224
Cl 0.0000 0.0000 0.0000
```

DOS at the Fermi energy   1.98 states/eV/cell

---

Density functional theory data (SCAN) for a PBEsol-optimized structure of MgRh2Cl.

```
4
Lattice="2.9181 0.0000 0.0000 0.0000 4.5150 0.0000 -0.1001 0.0000 4.5655" Properties=species:S:1:pos:R:3 pbc="T T T"
Mg 0.0000 0.0000 0.0000
Rh 0.7621 2.2575 3.3874
Rh 2.0559 2.2575 1.1781
Cl 1.4090 0.0000 2.2828
```

DOS at the Fermi energy   2.91 states/eV/cell

---

Density functional theory data (SCAN) for a PBEsol-optimized structure of MgRuCl2.

```
4
Lattice="3.0332 0.0000 0.0000 0.0000 3.0332 0.0000 0.0000 0.0000 7.9342" Properties=species:S:1:pos:R:3 pbc="T T T"
Mg 0.0000 0.0000 0.0000
Ru 1.5166 1.5166 2.0485
Cl 0.0000 0.0000 3.3028
Cl 1.5166 1.5166 6.4852
```

Energy relative to the lowest polymorph listed for this composition   0.0 meV/atom
DOS at the Fermi energy   2.16 states/eV/cell

---

Density functional theory data (SCAN) for a PBEsol-optimized structure of MgRu2Cl.

```
4
Lattice="2.8926 0.0000 0.0000 0.0000 2.8926 0.0000 0.0000 0.0000 7.2782" Properties=species:S:1:pos:R:3 pbc="T T T"
Mg 0.0000 0.0000 0.0000
Ru 0.0000 0.0000 3.4257
Ru 1.4463 1.4463 1.9159
Cl 1.4463 1.4463 5.3861
```

Energy relative to the lowest polymorph listed for this composition   0.0 meV/atom
DOS at the Fermi energy   2.33 states/eV/cell

---

Density functional theory data (SCAN) for a PBEsol-optimized structure of Mg2RuCl.

```
4
Lattice="2.8831 0.0000 0.0000 0.0000 4.5367 0.0000 0.0000 0.0000 5.4176" Properties=species:S:1:pos:R:3 pbc="T T T"
Mg 0.0000 0.0000 0.0000
Mg 1.4416 2.2683 2.0682
Ru 0.0000 0.0000 2.6181
Cl 1.4416 2.2683 4.8827
```

DOS at the Fermi energy   1.44 states/eV/cell

---

Density functional theory data (SCAN) for a PBEsol-optimized structure of MgRu2Cl.

```
4
Lattice="-1.7247 1.7247 5.7965 1.7247 -1.7247 5.7965 1.7247 1.7247 -5.7965" Properties=species:S:1:pos:R:3 pbc="T T T"
Mg 0.0000 0.0000 0.0000
Ru 1.7247 0.0000 2.8983
Ru 0.0000 1.7247 2.8983
Cl 0.0000 0.0000 5.7965
```

Energy relative to the lowest polymorph listed for this composition   469.8 meV/atom
DOS at the Fermi energy   2.86 states/eV/cell

---

Density functional theory data (SCAN) for a PBEsol-optimized structure of MgRuCl2.

```
4
Lattice="3.0447 -3.8925 0.0000 3.0447 3.8925 0.0000 -1.8521 0.0000 2.8836" Properties=species:S:1:pos:R:3 pbc="T T T"
Mg 0.0000 0.0000 0.0000
Ru 3.0447 0.0000 0.0000
Cl 1.5223 1.9463 0.0000
Cl 1.5223 -1.9463 0.0000
```

Energy relative to the lowest polymorph listed for this composition   214.5 meV/atom
DOS at the Fermi energy   1.97 states/eV/cell

---

Density functional theory data (SCAN) for a PBEsol-optimized structure of MgRuCl2.

```
4
Lattice="1.7187 -2.6177 0.0000 1.7187 2.6177 0.0000 0.0000 0.0000 8.5955" Properties=species:S:1:pos:R:3 pbc="T T T"
Mg 0.0000 0.0000 0.0000
Ru 1.7187 0.0000 2.2087
Cl 0.0000 0.0000 3.7087
Cl 1.7187 0.0000 6.9808
```

Energy relative to the lowest polymorph listed for this composition   8.6 meV/atom
DOS at the Fermi energy   1.59 states/eV/cell

---

Density functional theory data (SCAN) for a PBEsol-optimized structure of MgRu2Cl.

```
4
Lattice="2.8275 0.0000 0.0000 0.0000 4.4866 0.0000 0.0000 0.0000 4.7257" Properties=species:S:1:pos:R:3 pbc="T T T"
Mg 0.0000 0.0000 0.0000
Ru 0.0000 2.2433 2.3628
Ru 1.4138 0.0000 2.3628
Cl 1.4138 2.2433 0.0000
```

Energy relative to the lowest polymorph listed for this composition   477.7 meV/atom
DOS at the Fermi energy   2.80 states/eV/cell

---

Density functional theory data (SCAN) for a PBEsol-optimized structure of MgS2Cl2.

```
10
Lattice="6.4752 0.0000 0.0000 0.0000 6.4752 0.0000 0.0000 0.0000 6.6554" Properties=species:S:1:pos:R:3 pbc="T T T"
Mg 0.0000 0.0000 0.0000
Mg 3.2376 3.2376 0.0000
S 0.6701 2.5675 3.3277
S 2.5675 5.8051 3.3277
S 3.9077 0.6701 3.3277
S 5.8051 3.9077 3.3277
Cl 1.1839 4.4215 0.0000
Cl 2.0537 1.1839 0.0000
Cl 4.4215 5.2912 0.0000
Cl 5.2912 2.0537 0.0000
```

DOS at the Fermi energy   0.90 states/eV/cell

---

Density functional theory data (SCAN) for a PBEsol-optimized structure of MgSnSCl2.

```
5
Lattice="4.4612 0.0000 0.0000 0.0000 4.4612 0.0000 0.0000 0.0000 12.0129" Properties=species:S:1:pos:R:3 pbc="T T T"
Mg 0.0000 0.0000 0.0000
Sn 0.0000 0.0000 6.0065
S 2.2306 2.2306 6.0065
Cl 0.0000 2.2306 0.0000
Cl 2.2306 0.0000 0.0000
```

---

Density functional theory data (SCAN) for a PBEsol-optimized structure of SrMgS2Cl.

```
5
Lattice="5.4257 0.0000 0.0000 0.0000 5.4257 0.0000 0.0000 0.0000 5.2884" Properties=species:S:1:pos:R:3 pbc="T T T"
Sr 0.0000 0.0000 0.0000
Mg 2.7129 2.7129 2.6442
S 0.0000 2.7129 0.0000
S 2.7129 0.0000 0.0000
Cl 0.0000 0.0000 2.6442
```

DOS at the Fermi energy   0.84 states/eV/cell

---

Density functional theory data (SCAN) for a PBEsol-optimized structure of MgTcS2Cl.

```
5
Lattice="4.7720 0.0000 0.0000 0.0000 4.7720 0.0000 0.0000 0.0000 4.5464" Properties=species:S:1:pos:R:3 pbc="T T T"
Mg 0.0000 0.0000 0.0000
Tc 2.3860 2.3860 2.2732
S 0.0000 2.3860 0.0000
S 2.3860 0.0000 0.0000
Cl 0.0000 0.0000 2.2732
```

DOS at the Fermi energy   2.84 states/eV/cell

---

Density functional theory data (SCAN) for a PBEsol-optimized structure of MgTiS2Cl.

```
5
Lattice="4.7359 0.0000 0.0000 0.0000 4.7359 0.0000 0.0000 0.0000 4.5202" Properties=species:S:1:pos:R:3 pbc="T T T"
Mg 0.0000 0.0000 0.0000
Ti 2.3679 2.3679 2.2601
S 0.0000 2.3679 0.0000
S 2.3679 0.0000 0.0000
Cl 0.0000 0.0000 2.2601
```

DOS at the Fermi energy   2.63 states/eV/cell

---

Density functional theory data (SCAN) for a PBEsol-optimized structure of YMgS2Cl.

```
5
Lattice="4.8139 0.0000 0.0000 0.0000 4.8139 0.0000 0.0000 0.0000 4.4737" Properties=species:S:1:pos:R:3 pbc="T T T"
Y 0.0000 0.0000 0.0000
Mg 2.4070 2.4070 2.2368
S 0.0000 2.4070 2.2368
S 2.4070 0.0000 2.2368
Cl 2.4070 2.4070 0.0000
```

---

Density functional theory data (SCAN) for a PBEsol-optimized structure of MgScCl2.

```
4
Lattice="0.0000 3.5121 3.5121 3.5121 0.0000 3.5121 3.5121 3.5121 0.0000" Properties=species:S:1:pos:R:3 pbc="T T T"
Mg 0.0000 0.0000 0.0000
Sc 1.7561 1.7561 1.7561
Cl 3.5121 3.5121 3.5121
Cl 5.2682 5.2682 5.2682
```

Energy relative to the lowest polymorph listed for this composition   966.3 meV/atom
DOS at the Fermi energy   4.91 states/eV/cell

---

Density functional theory data (SCAN) for a PBEsol-optimized structure of Mg2ScCl.

```
4
Lattice="5.6139 -1.6150 0.0000 5.6139 1.6150 0.0000 -2.2781 0.0000 5.0343" Properties=species:S:1:pos:R:3 pbc="T T T"
Mg 0.0000 0.0000 0.0000
Mg 0.8496 0.0000 3.4085
Sc 3.9136 0.0000 2.3598
Cl 8.3194 0.0000 0.8321
```

Energy relative to the lowest polymorph listed for this composition   0.0 meV/atom
DOS at the Fermi energy   2.22 states/eV/cell

---

Density functional theory data (SCAN) for a PBEsol-optimized structure of MgScCl2.

```
4
Lattice="3.1182 -3.8244 0.0000 3.1182 3.8244 0.0000 0.0000 0.0000 3.2345" Properties=species:S:1:pos:R:3 pbc="T T T"
Mg 0.0000 0.0000 0.0000
Sc 3.1182 0.0000 0.0000
Cl 1.5591 1.9122 1.6172
Cl 1.5591 -1.9122 1.6172
```

Energy relative to the lowest polymorph listed for this composition   600.1 meV/atom
DOS at the Fermi energy   1.57 states/eV/cell

---

Density functional theory data (SCAN) for a PBEsol-optimized structure of Mg2ScCl.

```
4
Lattice="3.2224 0.0000 0.0000 0.0000 3.2224 0.0000 0.0000 0.0000 8.4355" Properties=species:S:1:pos:R:3 pbc="T T T"
Mg 0.0000 0.0000 1.9981
Mg 0.0000 0.0000 6.4374
Sc 1.6112 1.6112 4.2178
Cl 1.6112 1.6112 0.0000
```

Energy relative to the lowest polymorph listed for this composition   4.7 meV/atom
DOS at the Fermi energy   2.55 states/eV/cell

---

Density functional theory data (SCAN) for a PBEsol-optimized structure of MgScCl2.

```
4
Lattice="3.1556 0.0000 0.0000 0.0000 3.1556 0.0000 0.0000 0.0000 9.1762" Properties=species:S:1:pos:R:3 pbc="T T T"
Mg 0.0000 0.0000 0.0000
Sc 0.0000 0.0000 4.5881
Cl 1.5778 1.5778 3.0889
Cl 1.5778 1.5778 6.0873
```

Energy relative to the lowest polymorph listed for this composition   114.7 meV/atom
DOS at the Fermi energy   1.21 states/eV/cell

---

| no. | uncorrected formation energy (eV per atom) |
| --- | --- |
| 1 | 0.824 |
| 2 | 1.433 |
| 3 | 0.360 |
| 4 | 0.385 |
| 5 | 1.041 |
| 6 | 0.159 |
| 7 | 0.182 |
| 8 | 0.258 |
| 9 | 0.698 |
| 10 | 1.333 |
| 11 | 0.126 |
| 12 | -0.027 |
| 13 | -0.400 |
| 14 | -0.072 |
| 15 | -0.084 |
| 16 | 0.398 |
| 17 | -0.186 |
| 18 | -0.392 |
| 19 | 0.406 |
| 20 | -0.838 |
| 21 | -0.689 |
| 22 | -0.587 |
| 23 | 0.085 |
| 24 | -0.548 |
| 25 | -1.491 |
| 26 | -0.387 |
| 27 | -0.464 |
| 28 | -0.753 |
| 29 | -0.459 |
| 30 | -1.239 |